Density functional theory data (PBE) for an optimized crystal structure of Sc2GaSnRu.

a b c (Å): 4.9404 4.9404 5.0605
angles (deg): 90.00 90.00 90.00
With the nearest neighbours (Å) after each atom.
Atoms (fractional coordinates):
Sc  0.0000  0.5000  0.0000  2 Ru 2.47
Sc  0.5000  0.0000  0.0000  2 Ru 2.47
Ga  0.0000  0.0000  0.5000  4 Sn 3.49, 8 Sc 3.54
Sn  0.5000  0.5000  0.5000  2 Ru 2.53
Ru  0.5000  0.5000  0.0000  4 Sc 2.47, 2 Sn 2.53

Values from the calculation:
Space-group type ... P4/mmm (123)
Formation energy from the elements ... -0.1041 eV/atom
Final energy ... -29.49 eV/cell